## SmPuRh (PBE)

Data for a relaxed structure of SmPuRh.

Energy   -9.085 eV/atom
Space-group type   F-43m (216)
Calculated formation energy   -0.85 eV/f.u.
Calculated volume   80.4 Å³ per cell

a b c (Å): 4.8447 4.8447 4.8447
angles (deg): 60.00 60.00 60.00
With the nearest neighbours (Å) after each atom.
Fractional coordinates of all 3 atoms:
1 Sm 0.0000 0.0000 0.0000  4 Rh 2.97
2 Pu 0.5000 0.5000 0.5000  4 Rh 2.97
3 Rh 0.7500 0.7500 0.7500  4 Sm 2.97, 4 Pu 2.97